Material: Th2MgNi6
Method: DFT, GGA-PBE
State: optimized geometry

Lattice parameters (Å, degrees): 3.490 6.779 13.241 90.00 90.00 90.00
Space group Immm (No. 71)
Unique sites:
Th: 0.000 0.000 0.143
Mg: 0.000 0.500 0.000
Ni: 0.000 0.182 0.329
Ni: 0.000 0.311 0.500

Values from the calculation:
magnetic moment = 0.0000 μB per atom
ρ = 8.91 g cm⁻³
ΔH_f (0 K) = -0.08 eV per atom
energy = -5.76 eV/atom


Material: Ac5CoHg2N
Method: DFT, GGA-PBE
State: optimized geometry

Lattice parameters (Å, degrees): 4.179 19.455 14.628 90.00 90.00 90.00
Space group Cmc2_1 (No. 36)
Unique sites:
Ac: 0.000 0.004 0.000
Ac: 0.000 0.153 0.217
Ac: 0.000 0.183 0.598
Ac: 0.000 0.215 0.871
Ac: 0.000 0.454 0.231
Co: 0.000 0.293 0.237
Hg: 0.000 0.362 0.533
Hg: 0.000 0.390 0.894
N: 0.000 0.056 0.640

Values from the calculation:
magnetic moment = 0.0000 μB per atom
ρ = 8.99 g cm⁻³
formation energy (no corrections) = -0.47 eV/atom
energy = -4.53 eV/atom


Material: Rb2FeBr4
Method: DFT, GGA-PBE
State: optimized geometry

Lattice parameters (Å, degrees): 5.308 5.308 17.071 90.00 90.00 90.00
Space group I4/mmm (No. 139)
Unique sites:
Rb: 0.000 0.000 0.140
Fe: 0.000 0.000 0.500
Br: 0.000 0.000 0.345
Br: 0.000 0.500 0.000

Values from the calculation:
magnetic moment = 0.5714 μB per atom
ρ = 3.77 g cm⁻³
formation energy (no corrections) = -1.15 eV/atom
energy = -3.59 eV/atom


Material: Ho3Mg3Cd2
Method: DFT, GGA-PBE
State: optimized geometry

Lattice parameters (Å, degrees): 5.2022 5.2022 25.7658 90.00 90.00 120.00
Space group R3m (No. 160, hexagonal axes)
Unique sites:
Ho: 0.0000 0.0000 0.0000
Ho: 0.0000 0.0000 0.2477
Ho: 0.0000 0.0000 0.7503
Mg: 0.0000 0.0000 0.1254
Mg: 0.0000 0.0000 0.4980
Mg: 0.0000 0.0000 0.6224
Cd: 0.0000 0.0000 0.3745
Cd: 0.0000 0.0000 0.8740

Values from the calculation:
magnetic moment = 0.0000 μB per atom
energy above the most stable polymorph in this dataset = 0.000 eV per atom
ρ = 6.54 g cm⁻³
ΔH_f (0 K) = -0.18 eV per atom
energy = -2.72 eV/atom


Material: Rb4Hg2Te
Method: DFT, GGA-PBE
State: optimized geometry

Lattice parameters (Å, degrees): 7.083 7.083 17.769 90.00 90.00 90.00
Space group I4/mmm (No. 139)
Unique sites:
Rb: 0.000 0.000 0.196
Rb: 0.000 0.500 0.000
Hg: 0.000 0.000 0.410
Te: 0.000 0.000 0.000

Values from the calculation:
magnetic moment = 0.0000 μB per atom
ρ = 3.24 g cm⁻³
formation energy (no corrections) = -0.41 eV/atom
energy = -1.50 eV/atom


Material: AcGa2PtAu
Method: DFT, GGA-PBE
State: optimized geometry

Lattice parameters (Å, degrees): 4.422 4.552 10.909 90.00 90.00 90.00
Space group Imm2 (No. 44)
Unique sites:
Ac: 0.000 0.000 0.000
Ga: 0.000 0.000 0.378
Ga: 0.000 0.500 0.236
Pt: 0.000 0.000 0.604
Au: 0.000 0.500 0.758

Values from the calculation:
magnetic moment = 0.0000 μB per atom
ρ = 11.47 g cm⁻³
ΔH_f (0 K) = -0.74 eV per atom
energy = -4.64 eV/atom